# 1
{"formula": "ScMnNbFe", "functional": "PBE", "state": "relaxed", "vol_a3_per_cell": 59, "final_energy_ev_per_fu": -34.3, "lattice_angstrom": [[4.362, 0.000, 0.000], [2.181, 3.777, 0.000], [2.181, 1.259, 3.561]], "species": ["Fe", "Nb", "Sc", "Mn"], "frac_coords": [[0.750, 0.750, 0.750], [0.500, 0.500, 0.500], [0.000, 0.000, 0.000], [0.250, 0.250, 0.250]]}

=====

# 2
{"formula": "MnNb2FeSe", "functional": "PBE", "state": "relaxed", "vol_a3_per_cell": 90, "formation_energy_uncorrected_ev_per_atom": 1.061, "lattice_angstrom": [[4.621, 0.000, 0.000], [0.000, 4.208, 0.000], [0.000, 0.000, 4.621]], "species": ["Mn", "Nb", "Nb", "Se", "Fe"], "frac_coords": [[0.500, 0.500, 0.500], [0.000, 0.000, 0.500], [0.500, 0.000, 0.000], [0.000, 0.500, 0.000], [0.000, 0.000, 0.000]]}

=====

# 3
{"formula": "MnNb2FeSi", "functional": "PBE", "state": "relaxed", "vol_a3_per_cell": 89, "formation_energy_uncorrected_ev_per_atom": 0.718, "lattice_angstrom": [[-2.597, 3.275, 1.702], [-3.461, -1.633, -2.137], [-0.963, -2.610, 3.553]], "species": ["Nb", "Nb", "Mn", "Fe", "Si"], "frac_coords": [[0.500, 0.000, 0.000], [0.000, 0.000, 0.500], [0.000, 0.500, 0.000], [0.000, 0.000, 0.000], [0.500, 0.500, 0.500]]}

=====

# 4
{"formula": "TaMnNbFe", "functional": "PBE", "state": "relaxed", "vol_a3_per_cell": 58, "final_energy_ev_per_fu": -40.0, "lattice_angstrom": [[-1.209, -2.044, 3.628], [-1.537, -4.050, -0.202], [2.369, -3.297, 1.524]], "species": ["Nb", "Mn", "Ta", "Fe"], "frac_coords": [[0.500, 0.500, 0.500], [0.750, 0.750, 0.750], [0.000, 0.000, 0.000], [0.250, 0.250, 0.250]]}

=====

# 5
{"formula": "TiMnNbFe", "functional": "PBE", "state": "relaxed", "vol_a3_per_cell": 55, "e_above_lowest_polymorph_mev_per_atom": 0.0, "lattice_angstrom": [[-1.978, 3.034, 2.249], [-4.194, -0.270, 0.716], [-1.442, -0.851, 3.920]], "species": ["Fe", "Nb", "Ti", "Mn"], "frac_coords": [[0.750, 0.750, 0.750], [0.000, 0.000, 0.000], [0.500, 0.500, 0.500], [0.250, 0.250, 0.250]]}

=====

# 6
{"formula": "TiMnNbFe", "functional": "PBE", "state": "relaxed", "vol_a3_per_cell": 55, "e_above_lowest_polymorph_mev_per_atom": 4.1, "lattice_angstrom": [[3.020, 0.000, 0.000], [0.000, 3.020, 0.000], [0.000, 0.000, 6.014]], "species": ["Nb", "Mn", "Fe", "Ti"], "frac_coords": [[0.000, 0.000, 0.354], [0.500, 0.500, 0.103], [0.500, 0.500, 0.612], [0.000, 0.000, 0.859]]}